(1)
Entry from the Open Quantum Materials Database: a relaxed structure of LuScPO (PBE-GGA).

VASP energy = -7.0496 eV/atom
ΔE to the lowest computed polymorph = 7.56 kcal/mol of atoms
Space group = P4/nmm (129)

Structure (CIF):
```
data_LuScPO
_chemical_formula_sum 'Lu2 Sc2 P2 O2'
_space_group_name_H-M_alt 'P 1'
_space_group_IT_number 1
_space_group_name_Hall 'P 1'
_cell_length_a 4.395
_cell_length_b 4.395
_cell_length_c 7.783
_cell_angle_alpha 90.00
_cell_angle_beta 90.00
_cell_angle_gamma 90.00
loop_
_atom_site_label
_atom_site_type_symbol
_atom_site_fract_x
_atom_site_fract_y
_atom_site_fract_z
Lu1 Lu 0.250 0.750 0.000
Lu2 Lu 0.750 0.250 0.000
Sc1 Sc 0.250 0.250 0.468
Sc2 Sc 0.750 0.750 0.532
P1 P 0.250 0.250 0.809
P2 P 0.750 0.750 0.191
O1 O 0.250 0.750 0.500
O2 O 0.750 0.250 0.500
```

---

(2)
Entry from the Open Quantum Materials Database: a relaxed structure of SmLuPO (PBE-GGA).

VASP energy = -6.8579 eV/atom
ΔE to the lowest computed polymorph = 0.00 kcal/mol of atoms
Space group = P4/nmm (129)

Structure (CIF):
```
data_SmLuPO
_chemical_formula_sum 'Sm2 Lu2 P2 O2'
_space_group_name_H-M_alt 'P 1'
_space_group_IT_number 1
_space_group_name_Hall 'P 1'
_cell_length_a 4.301
_cell_length_b 4.301
_cell_length_c 8.667
_cell_angle_alpha 90.00
_cell_angle_beta 90.00
_cell_angle_gamma 90.00
loop_
_atom_site_label
_atom_site_type_symbol
_atom_site_fract_x
_atom_site_fract_y
_atom_site_fract_z
Sm1 Sm 0.250 0.250 0.113
Sm2 Sm 0.750 0.750 0.887
Lu1 Lu 0.250 0.750 0.500
Lu2 Lu 0.750 0.250 0.500
P1 P 0.250 0.250 0.685
P2 P 0.750 0.750 0.315
O1 O 0.250 0.750 0.000
O2 O 0.750 0.250 0.000
```

---

(3)
Entry from the Open Quantum Materials Database: a relaxed structure of SmLuPO (PBE-GGA).

VASP energy = -6.7009 eV/atom
ΔE to the lowest computed polymorph = 3.62 kcal/mol of atoms
Space group = P4/nmm (129)

Structure (CIF):
```
data_SmLuPO
_chemical_formula_sum 'Sm2 Lu2 P2 O2'
_space_group_name_H-M_alt 'P 1'
_space_group_IT_number 1
_space_group_name_Hall 'P 1'
_cell_length_a 4.292
_cell_length_b 4.292
_cell_length_c 8.531
_cell_angle_alpha 90.00
_cell_angle_beta 90.00
_cell_angle_gamma 90.00
loop_
_atom_site_label
_atom_site_type_symbol
_atom_site_fract_x
_atom_site_fract_y
_atom_site_fract_z
Sm1 Sm 0.250 0.750 0.000
Sm2 Sm 0.750 0.250 0.000
Lu1 Lu 0.250 0.250 0.410
Lu2 Lu 0.750 0.750 0.590
P1 P 0.250 0.250 0.789
P2 P 0.750 0.750 0.211
O1 O 0.250 0.750 0.500
O2 O 0.750 0.250 0.500
```

---

(4)
Entry from the Open Quantum Materials Database: a relaxed structure of SrLuPO (PBE-GGA).

VASP energy = -5.7722 eV/atom
ΔE to the lowest computed polymorph = 11.29 kcal/mol of atoms
Space group = P4/nmm (129)

Structure (CIF):
```
data_SrLuPO
_chemical_formula_sum 'Sr2 Lu2 P2 O2'
_space_group_name_H-M_alt 'P 1'
_space_group_IT_number 1
_space_group_name_Hall 'P 1'
_cell_length_a 4.333
_cell_length_b 4.333
_cell_length_c 8.866
_cell_angle_alpha 90.00
_cell_angle_beta 90.00
_cell_angle_gamma 90.00
loop_
_atom_site_label
_atom_site_type_symbol
_atom_site_fract_x
_atom_site_fract_y
_atom_site_fract_z
Sr1 Sr 0.250 0.750 0.000
Sr2 Sr 0.750 0.250 0.000
Lu1 Lu 0.250 0.250 0.422
Lu2 Lu 0.750 0.750 0.578
P1 P 0.250 0.250 0.780
P2 P 0.750 0.750 0.220
O1 O 0.250 0.750 0.500
O2 O 0.750 0.250 0.500
```

---

(5)
Entry from the Open Quantum Materials Database: a relaxed structure of SrLuPO (PBE-GGA).

VASP energy = -6.1278 eV/atom
ΔE to the lowest computed polymorph = 3.09 kcal/mol of atoms
Space group = Pmc2_1 (26)

Structure (CIF):
```
data_SrLuPO
_chemical_formula_sum 'Sr2 Lu2 P2 O2'
_space_group_name_H-M_alt 'P 1'
_space_group_IT_number 1
_space_group_name_Hall 'P 1'
_cell_length_a 3.948
_cell_length_b 6.533
_cell_length_c 7.016
_cell_angle_alpha 90.00
_cell_angle_beta 90.00
_cell_angle_gamma 90.00
loop_
_atom_site_label
_atom_site_type_symbol
_atom_site_fract_x
_atom_site_fract_y
_atom_site_fract_z
Sr1 Sr 0.000 0.052 0.000
Sr2 Sr 0.000 0.948 0.500
Lu1 Lu 0.500 0.383 0.355
Lu2 Lu 0.500 0.617 0.855
P1 P 0.500 0.236 0.719
P2 P 0.500 0.764 0.219
O1 O 0.000 0.272 0.285
O2 O 0.000 0.728 0.785
```

---

(6)
Entry from the Open Quantum Materials Database: a relaxed structure of SrLuPO (PBE-GGA).

VASP energy = -6.0588 eV/atom
ΔE to the lowest computed polymorph = 4.68 kcal/mol of atoms
Space group = P4/nmm (129)

Structure (CIF):
```
data_SrLuPO
_chemical_formula_sum 'Sr2 Lu2 P2 O2'
_space_group_name_H-M_alt 'P 1'
_space_group_IT_number 1
_space_group_name_Hall 'P 1'
_cell_length_a 5.323
_cell_length_b 5.323
_cell_length_c 5.694
_cell_angle_alpha 90.00
_cell_angle_beta 90.00
_cell_angle_gamma 90.00
loop_
_atom_site_label
_atom_site_type_symbol
_atom_site_fract_x
_atom_site_fract_y
_atom_site_fract_z
Sr1 Sr 0.250 0.250 0.003
Sr2 Sr 0.750 0.750 0.997
Lu1 Lu 0.250 0.750 0.500
Lu2 Lu 0.750 0.250 0.500
P1 P 0.250 0.250 0.503
P2 P 0.750 0.750 0.497
O1 O 0.250 0.750 0.000
O2 O 0.750 0.250 0.000
```

---

(7)
Entry from the Open Quantum Materials Database: a relaxed structure of SrLuPO (PBE-GGA).

VASP energy = -6.2617 eV/atom
ΔE to the lowest computed polymorph = 0.00 kcal/mol of atoms
Space group = Pmc2_1 (26)

Structure (CIF):
```
data_SrLuPO
_chemical_formula_sum 'Sr2 Lu2 P2 O2'
_space_group_name_H-M_alt 'P 1'
_space_group_IT_number 1
_space_group_name_Hall 'P 1'
_cell_length_a 4.456
_cell_length_b 7.239
_cell_length_c 6.254
_cell_angle_alpha 90.00
_cell_angle_beta 90.00
_cell_angle_gamma 90.00
loop_
_atom_site_label
_atom_site_type_symbol
_atom_site_fract_x
_atom_site_fract_y
_atom_site_fract_z
Sr1 Sr 0.000 0.200 0.000
Sr2 Sr 0.000 0.800 0.500
Lu1 Lu 0.500 0.380 0.589
Lu2 Lu 0.500 0.620 0.089
P1 P 0.000 0.215 0.482
P2 P 0.000 0.785 0.982
O1 O 0.500 0.365 0.927
O2 O 0.500 0.635 0.427
```

---

(8)
Entry from the Open Quantum Materials Database: a relaxed structure of LuTaPO (PBE-GGA).

VASP energy = -8.6146 eV/atom
ΔE to the lowest computed polymorph = 0.00 kcal/mol of atoms
Space group = P4/nmm (129)

Structure (CIF):
```
data_LuTaPO
_chemical_formula_sum 'Lu2 Ta2 P2 O2'
_space_group_name_H-M_alt 'P 1'
_space_group_IT_number 1
_space_group_name_Hall 'P 1'
_cell_length_a 3.893
_cell_length_b 3.893
_cell_length_c 8.508
_cell_angle_alpha 90.00
_cell_angle_beta 90.00
_cell_angle_gamma 90.00
loop_
_atom_site_label
_atom_site_type_symbol
_atom_site_fract_x
_atom_site_fract_y
_atom_site_fract_z
Lu1 Lu 0.250 0.250 0.121
Lu2 Lu 0.750 0.750 0.879
Ta1 Ta 0.250 0.750 0.500
Ta2 Ta 0.750 0.250 0.500
P1 P 0.250 0.250 0.697
P2 P 0.750 0.750 0.303
O1 O 0.250 0.750 0.000
O2 O 0.750 0.250 0.000
```

---

(9)
Entry from the Open Quantum Materials Database: a relaxed structure of LuTaPO (PBE-GGA).

VASP energy = -7.5535 eV/atom
ΔE to the lowest computed polymorph = 24.47 kcal/mol of atoms
Space group = P4/nmm (129)

Structure (CIF):
```
data_LuTaPO
_chemical_formula_sum 'Lu2 Ta2 P2 O2'
_space_group_name_H-M_alt 'P 1'
_space_group_IT_number 1
_space_group_name_Hall 'P 1'
_cell_length_a 4.072
_cell_length_b 4.072
_cell_length_c 7.350
_cell_angle_alpha 90.00
_cell_angle_beta 90.00
_cell_angle_gamma 90.00
loop_
_atom_site_label
_atom_site_type_symbol
_atom_site_fract_x
_atom_site_fract_y
_atom_site_fract_z
Lu1 Lu 0.250 0.750 0.000
Lu2 Lu 0.750 0.250 0.000
Ta1 Ta 0.250 0.250 0.386
Ta2 Ta 0.750 0.750 0.614
P1 P 0.250 0.250 0.753
P2 P 0.750 0.750 0.247
O1 O 0.250 0.750 0.500
O2 O 0.750 0.250 0.500
```

---

(10)
Entry from the Open Quantum Materials Database: a relaxed structure of TbLuPO (PBE-GGA).

VASP energy = -6.9165 eV/atom
ΔE to the lowest computed polymorph = 0.00 kcal/mol of atoms
Space group = Pmc2_1 (26)

Structure (CIF):
```
data_TbLuPO
_chemical_formula_sum 'Tb2 Lu2 P2 O2'
_space_group_name_H-M_alt 'P 1'
_space_group_IT_number 1
_space_group_name_Hall 'P 1'
_cell_length_a 4.156
_cell_length_b 7.280
_cell_length_c 5.746
_cell_angle_alpha 90.00
_cell_angle_beta 90.00
_cell_angle_gamma 90.00
loop_
_atom_site_label
_atom_site_type_symbol
_atom_site_fract_x
_atom_site_fract_y
_atom_site_fract_z
Tb1 Tb 0.000 0.202 0.000
Tb2 Tb 0.000 0.798 0.500
Lu1 Lu 0.500 0.382 0.568
Lu2 Lu 0.500 0.618 0.068
P1 P 0.000 0.172 0.493
P2 P 0.000 0.828 0.993
O1 O 0.500 0.336 0.940
O2 O 0.500 0.664 0.440
```